HfAlMo3 (PBE-GGA, relaxed); energy relative to the elements = 5.6 eV/f.u.; crystal system = cubic; DOS at the Fermi energy = 5.13 states/eV/cell
1.0
4.571 0.000 0.000
0.000 4.571 0.000
0.000 0.000 4.571
Hf Al Mo
1 1 3
direct
0.000 0.000 0.000 Hf
0.500 0.500 0.500 Al
0.000 0.500 0.500 Mo
0.500 0.000 0.500 Mo
0.500 0.500 0.000 Mo

=====

Cu3Pd4Pt2 (PBE-GGA, relaxed); energy relative to the elements = -0.1 eV/f.u.; crystal system = monoclinic; DOS at the Fermi energy = 27.01 states/eV/cell
1.0
5.535 -5.152 0.000
5.535 5.152 0.000
-1.195 0.000 4.650
Cu Pd Pt
6 8 4
direct
0.012 0.988 0.750 Cu
0.346 0.457 0.527 Cu
0.457 0.346 0.027 Cu
0.543 0.654 0.973 Cu
0.654 0.543 0.473 Cu
0.988 0.012 0.250 Cu
0.035 0.657 0.424 Pd
0.212 0.615 0.975 Pd
0.343 0.965 0.076 Pd
0.385 0.788 0.525 Pd
0.615 0.212 0.475 Pd
0.657 0.035 0.924 Pd
0.788 0.385 0.025 Pd
0.965 0.343 0.576 Pd
0.138 0.279 0.103 Pt
0.279 0.138 0.603 Pt
0.721 0.862 0.397 Pt
0.862 0.721 0.897 Pt

=====

Ag4Hg (PBE-GGA, relaxed); energy relative to the elements = 1.0 eV/f.u.; crystal system = tetragonal; DOS at the Fermi energy = 2.16 states/eV/cell
1.0
-1.932 1.932 7.097
1.932 -1.932 7.097
1.932 1.932 -7.097
Ag Hg
4 1
direct
0.098 0.098 0.000 Ag
0.250 0.750 0.500 Ag
0.750 0.250 0.500 Ag
0.902 0.902 0.000 Ag
0.500 0.500 0.000 Hg

=====

SrBiOsC2 (PBE-GGA, relaxed); energy relative to the elements = 7.2 eV/f.u.; crystal system = tetragonal; DOS at the Fermi energy = 5.26 states/eV/cell
1.0
4.180 0.000 0.000
0.000 4.180 0.000
0.000 0.000 6.090
Sr Bi Os C
1 1 1 2
direct
0.000 0.000 0.000 Sr
0.500 0.500 0.000 Bi
0.000 0.000 0.500 Os
0.000 0.500 0.500 C
0.500 0.000 0.500 C

=====

no.,volume (Å³ per cell)
1,95
2,265
3,106
4,106